(1)
# TlHgIO2

Crystalline TlHgIO2 at its relaxed geometry (GGA-PBE, Alexandria).

Cell lengths 4.3554, 6.9819, 4.3554 Å; angles 90.00, 90.00, 90.00 degrees
With the nearest neighbours (Å) after each atom.
Fractional positions:
Tl  0.0000  0.5000  0.0000  4 I 3.08
O  0.5000  0.0000  0.0000  2 Hg 2.18
O  0.0000  0.0000  0.5000  2 Hg 2.18
I  0.5000  0.5000  0.5000  4 Tl 3.08
Hg  0.0000  0.0000  0.0000  4 O 2.18

Computed properties:
Energy relative to the elements, uncorrected   0.283 eV per atom
Relative energy among the computed polymorphs   167.7 meV/atom
Space-group type   P4/mmm

(2)
# Mn2CrNi

Crystalline Mn2CrNi at its relaxed geometry (GGA-PBE, Alexandria).

Cell lengths 3.7849, 2.4060, 5.0896 Å; angles 72.45, 90.00, 90.00 degrees
With the nearest neighbours (Å) after each atom.
Fractional positions:
Cr  0.5000  0.7500  0.7500  4 Mn 2.39, 2 Cr 2.41, 2 Ni 2.47
Mn  0.0000  0.9137  0.0043  4 Mn 2.38-2.61, 2 Cr 2.39, 4 Ni 2.53-2.55
Mn  0.0000  0.5863  0.4957  4 Mn 2.38-2.61, 2 Cr 2.39, 4 Ni 2.53-2.55
Ni  0.5000  0.2500  0.2500  2 Ni 2.41, 2 Cr 2.47, 8 Mn 2.53-2.55

Computed properties:
Formation energy from the elements   0.111 eV per atom
Space-group type   P2/m

Number 1: calculated density 7.070 g/cm3, calculated volume 132.4 Å³/cell. Number 2: calculated density 8.288 g/cm3, calculated volume 44.2 Å³/cell.